# 1
A relaxed NpGe2As crystal, computed with PBE.

Output
Its theoretical density is 10.0 Mg/m³. The calculation puts the density of states at the Fermi level at 9.55 states/eV/f.u. The calculation puts the total energy at -27.9 eV for the cell shown.

The structure in POSCAR format:
```
NpGe2As
1.0
4.149 0.000 0.000
0.000 4.149 0.000
0.000 0.000 4.424
Np Ge As
1 2 1
direct
0.000 0.000 0.000
0.000 0.500 0.500
0.500 0.000 0.500
0.500 0.500 0.000
```

***

# 2
A relaxed NpGeAs crystal, computed with PBE.

Output
Its theoretical density is 10.2 Mg/m³. The calculation puts the density of states at the Fermi level at 9.06 states/eV/f.u. For the energy above the most stable polymorph in this dataset, the calculation gives 0.0 meV/atom.

The structure in POSCAR format:
```
NpGeAs
1.0
4.141 0.000 0.000
0.000 4.141 0.000
0.000 0.000 14.604
Np Ge As
4 4 4
direct
0.000 0.000 0.143
0.000 0.000 0.857
0.500 0.500 0.357
0.500 0.500 0.643
0.000 0.500 0.000
0.000 0.500 0.500
0.500 0.000 0.000
0.500 0.000 0.500
0.000 0.000 0.340
0.000 0.000 0.660
0.500 0.500 0.160
0.500 0.500 0.840
```

***

# 3
A relaxed NpGeAs3 crystal, computed with PBE.

Output
Its theoretical density is 7.3 Mg/m³. The calculation puts the density of states at the Fermi level at 10.85 states/eV/f.u. The calculation puts the total energy at -63.8 eV for the cell shown.

The structure in POSCAR format:
```
NpGeAs3
1.0
7.581 -1.989 0.000
7.581 1.989 0.000
-0.050 0.000 8.007
Np Ge As
2 2 6
direct
0.209 0.209 0.292
0.791 0.791 0.708
0.413 0.413 0.215
0.587 0.587 0.785
0.017 0.017 0.155
0.207 0.207 0.924
0.369 0.369 0.510
0.631 0.631 0.490
0.793 0.793 0.076
0.983 0.983 0.845
```

***

# 4
A relaxed NpGeAs crystal, computed with PBE.

Output
Its theoretical density is 10.1 Mg/m³. The calculation puts the density of states at the Fermi level at 6.76 states/eV/f.u. For the energy above the most stable polymorph in this dataset, the calculation gives 235.0 meV/atom.

The structure in POSCAR format:
```
NpGeAs
1.0
4.488 0.000 0.000
-2.244 3.887 0.000
0.000 0.000 3.623
Np Ge As
1 1 1
direct
0.000 0.000 0.000
0.333 0.667 0.500
0.667 0.333 0.500
```

***

# 5
A relaxed Np2GeAs4 crystal, computed with PBE.

Output
Its theoretical density is 9.0 Mg/m³. The calculation puts the density of states at the Fermi level at 15.45 states/eV/f.u. The calculation puts the total energy at -51.4 eV for the cell shown.

The structure in POSCAR format:
```
Np2GeAs4
1.0
3.920 0.000 0.000
0.000 3.920 0.000
0.000 0.000 10.190
Np Ge As
2 1 4
direct
0.000 0.500 0.224
0.500 0.000 0.776
0.000 0.000 0.500
0.000 0.000 0.000
0.000 0.500 0.688
0.500 0.000 0.312
0.500 0.500 0.000
```

***

# 6
A relaxed Np2Ge3AsPt4 crystal, computed with PBE.

Output
Its theoretical density is 13.4 Mg/m³. The calculation puts the density of states at the Fermi level at 23.70 states/eV/f.u. The calculation puts the total energy at -73.7 eV for the cell shown.

The structure in POSCAR format:
```
Np2Ge3AsPt4
1.0
4.403 0.000 0.000
0.000 4.403 0.000
0.000 0.000 9.889
Np Ge As Pt
2 3 1 4
direct
0.000 0.500 0.249
0.500 0.000 0.751
0.000 0.000 0.000
0.000 0.500 0.630
0.500 0.000 0.370
0.500 0.500 0.000
0.000 0.000 0.500
0.000 0.500 0.876
0.500 0.000 0.124
0.500 0.500 0.500
```

***

# 7
A relaxed NpGeAsRh2 crystal, computed with PBE.

Output
Its theoretical density is 9.9 Mg/m³. The calculation puts the density of states at the Fermi level at 11.60 states/eV/f.u. The calculation puts the total energy at -77.8 eV for the cell shown.

The structure in POSCAR format:
```
NpGeAsRh2
1.0
4.048 0.000 0.000
0.000 4.083 0.000
0.000 0.000 11.935
Np Ge As Rh
2 2 2 4
direct
0.000 0.000 0.000
0.000 0.500 0.500
0.500 0.000 0.590
0.500 0.500 0.090
0.000 0.000 0.328
0.000 0.500 0.828
0.000 0.000 0.712
0.000 0.500 0.212
0.500 0.000 0.209
0.500 0.500 0.709
```

***

# 8
A relaxed Np2GeAs3Rh4 crystal, computed with PBE.

Output
Its theoretical density is 10.9 Mg/m³. The calculation puts the density of states at the Fermi level at 21.44 states/eV/f.u. The calculation puts the total energy at -79.4 eV for the cell shown.

The structure in POSCAR format:
```
Np2GeAs3Rh4
1.0
4.185 0.000 0.000
0.000 4.185 0.000
0.000 0.000 10.248
Np Ge As Rh
2 1 3 4
direct
0.000 0.500 0.248
0.500 0.000 0.752
0.500 0.500 0.000
0.000 0.000 0.000
0.000 0.500 0.638
0.500 0.000 0.362
0.000 0.000 0.500
0.000 0.500 0.872
0.500 0.000 0.128
0.500 0.500 0.500
```

***

# 9
A relaxed NpTcGeAs crystal, computed with PBE.

Output
Its theoretical density is 11.2 Mg/m³. The calculation puts the density of states at the Fermi level at 12.12 states/eV/f.u. The calculation puts the total energy at -131.4 eV for the cell shown.

The structure in POSCAR format:
```
NpTcGeAs
1.0
6.585 0.000 0.000
0.000 6.585 0.000
0.000 0.000 6.585
Np Tc Ge As
4 4 4 4
direct
0.000 0.000 0.000
0.000 0.500 0.500
0.500 0.000 0.500
0.500 0.500 0.000
0.000 0.000 0.500
0.000 0.500 0.000
0.500 0.000 0.000
0.500 0.500 0.500
0.250 0.250 0.250
0.250 0.750 0.750
0.750 0.250 0.750
0.750 0.750 0.250
0.250 0.250 0.750
0.250 0.750 0.250
0.750 0.250 0.250
0.750 0.750 0.750
```

***

# 10
A relaxed GeAs3O crystal, computed with PBE.

Output
Its theoretical density is 4.4 Mg/m³. The calculation puts the density of states at the Fermi level at 7.21 states/eV/f.u. For the energy above the most stable polymorph in this dataset, the calculation gives 915.2 meV/atom.

The structure in POSCAR format:
```
GeAs3O
1.0
4.923 0.000 0.000
0.000 4.923 0.000
0.000 0.000 4.923
Ge As O
1 3 1
direct
0.000 0.000 0.000
0.000 0.000 0.500
0.000 0.500 0.000
0.500 0.000 0.000
0.500 0.500 0.500
```

***

# 11
A relaxed GeAsO2 crystal, computed with PBE.

Output
Its theoretical density is 6.1 Mg/m³. The calculation puts the density of states at the Fermi level at 1.59 states/eV/f.u. For the energy above the most stable polymorph in this dataset, the calculation gives 713.4 meV/atom.

The structure in POSCAR format:
```
GeAsO2
1.0
5.804 0.000 0.000
0.000 5.804 0.000
0.000 0.000 5.804
Ge As O
4 4 8
direct
0.000 0.000 0.000
0.000 0.500 0.500
0.500 0.000 0.500
0.500 0.500 0.000
0.000 0.000 0.500
0.000 0.500 0.000
0.500 0.000 0.000
0.500 0.500 0.500
0.250 0.250 0.250
0.250 0.250 0.750
0.250 0.750 0.250
0.250 0.750 0.750
0.750 0.250 0.250
0.750 0.250 0.750
0.750 0.750 0.250
0.750 0.750 0.750
```

***

# 12
A relaxed Ge2As2O crystal, computed with PBE.

Output
Its theoretical density is 5.5 Mg/m³. The calculation puts the density of states at the Fermi level at 1.79 states/eV/f.u. For the energy above the most stable polymorph in this dataset, the calculation gives 396.0 meV/atom.

The structure in POSCAR format:
```
Ge2As2O
1.0
3.877 0.000 0.000
0.000 3.877 0.000
0.000 0.000 12.568
Ge As O
4 4 2
direct
0.000 0.500 0.250
0.000 0.500 0.750
0.500 0.000 0.250
0.500 0.000 0.750
0.000 0.000 0.105
0.000 0.000 0.895
0.500 0.500 0.395
0.500 0.500 0.605
0.000 0.000 0.500
0.500 0.500 0.000
```

***

# 13
A relaxed Ge2As2O7 crystal, computed with PBE.

Output
Its theoretical density is 3.7 Mg/m³. The calculation puts the density of states at the Fermi level at 0.00 states/eV/f.u. The calculation puts the total energy at -274.3 eV for the cell shown.

The structure in POSCAR format:
```
Ge2As2O7
1.0
7.250 0.000 0.000
0.787 7.569 0.000
2.244 0.198 13.464
Ge As O
8 8 28
direct
0.070 0.463 0.129
0.256 0.825 0.595
0.304 0.973 0.791
0.330 0.634 0.387
0.670 0.366 0.613
0.696 0.027 0.209
0.744 0.175 0.405
0.930 0.537 0.871
0.074 0.208 0.653
0.116 0.805 0.994
0.173 0.275 0.333
0.398 0.379 0.828
0.602 0.621 0.172
0.827 0.725 0.667
0.884 0.195 0.006
0.926 0.792 0.347
0.066 0.258 0.071
0.079 0.058 0.762
0.083 0.683 0.645
0.144 0.406 0.829
0.158 0.038 0.559
0.177 0.804 0.341
0.206 0.428 0.225
0.206 0.590 0.036
0.216 0.439 0.419
0.298 0.807 0.886
0.400 0.717 0.494
0.412 0.857 0.681
0.428 0.138 0.832
0.452 0.405 0.693
0.548 0.595 0.307
0.572 0.862 0.168
0.588 0.143 0.319
0.600 0.283 0.506
0.702 0.193 0.114
0.784 0.561 0.581
0.794 0.410 0.964
0.794 0.572 0.775
0.823 0.196 0.659
0.842 0.962 0.441
0.856 0.594 0.171
0.917 0.317 0.355
0.921 0.942 0.238
0.934 0.742 0.929
```

***

# 14
A relaxed GeAs3O crystal, computed with PBE.

Output
Its theoretical density is 5.9 Mg/m³. The calculation puts the density of states at the Fermi level at 2.10 states/eV/f.u. For the energy above the most stable polymorph in this dataset, the calculation gives 0.0 meV/atom.

The structure in POSCAR format:
```
GeAs3O
1.0
4.453 0.000 0.000
0.000 4.453 0.000
0.000 0.000 4.453
Ge As O
1 3 1
direct
0.000 0.000 0.000
0.000 0.500 0.500
0.500 0.000 0.500
0.500 0.500 0.000
0.500 0.500 0.500
```

***

# 15
A relaxed GeAs2O2 crystal, computed with PBE.

Output
Its theoretical density is 4.9 Mg/m³. The calculation puts the density of states at the Fermi level at 1.22 states/eV/f.u. For the energy above the most stable polymorph in this dataset, the calculation gives 0.0 meV/atom.

The structure in POSCAR format:
```
GeAs2O2
1.0
7.809 0.000 0.000
0.000 7.809 0.000
0.000 0.000 2.855
Ge As O
2 4 4
direct
0.000 0.000 0.000
0.500 0.500 0.000
0.243 0.257 0.000
0.257 0.757 0.000
0.743 0.243 0.000
0.757 0.743 0.000
0.134 0.366 0.500
0.366 0.866 0.500
0.634 0.134 0.500
0.866 0.634 0.500
```

***

# 16
A relaxed Ge2As2O crystal, computed with PBE.

Output
Its theoretical density is 5.8 Mg/m³. The calculation puts the density of states at the Fermi level at 2.09 states/eV/f.u. For the energy above the most stable polymorph in this dataset, the calculation gives 0.0 meV/atom.

The structure in POSCAR format:
```
Ge2As2O
1.0
5.773 0.000 0.000
0.000 5.773 0.000
0.000 0.000 5.346
Ge As O
4 4 2
direct
0.236 0.264 0.000
0.264 0.764 0.000
0.736 0.236 0.000
0.764 0.736 0.000
0.178 0.322 0.500
0.322 0.822 0.500
0.678 0.178 0.500
0.822 0.678 0.500
0.000 0.000 0.500
0.500 0.500 0.500
```

***

# 17
A relaxed GeAsO2 crystal, computed with PBE.

Output
Its theoretical density is 5.6 Mg/m³. The calculation puts the density of states at the Fermi level at 1.51 states/eV/f.u. For the energy above the most stable polymorph in this dataset, the calculation gives 0.0 meV/atom.

The structure in POSCAR format:
```
GeAsO2
1.0
3.074 0.000 0.000
-1.537 2.662 0.000
0.000 0.000 19.557
Ge As O
3 3 6
direct
0.000 0.000 0.000
0.333 0.667 0.667
0.667 0.333 0.333
0.000 0.000 0.500
0.333 0.667 0.167
0.667 0.333 0.833
0.000 0.000 0.390
0.000 0.000 0.610
0.333 0.667 0.057
0.333 0.667 0.276
0.667 0.333 0.724
0.667 0.333 0.943
```

***

# 18
A relaxed GeAsO5 crystal, computed with PBE.

Output
Its theoretical density is 3.8 Mg/m³. The calculation puts the density of states at the Fermi level at 2.10 states/eV/f.u. The calculation puts the total energy at -79.9 eV for the cell shown.

The structure in POSCAR format:
```
GeAsO5
1.0
5.696 -2.373 0.000
5.696 2.373 0.000
-1.934 0.000 7.359
Ge As O
2 2 10
direct
0.089 0.911 0.750
0.911 0.089 0.250
0.500 0.500 0.000
0.500 0.500 0.500
0.140 0.642 0.542
0.142 0.639 0.873
0.287 0.713 0.250
0.358 0.860 0.958
0.361 0.858 0.627
0.639 0.142 0.373
0.642 0.140 0.042
0.713 0.287 0.750
0.858 0.361 0.127
0.860 0.358 0.458
```

***

# 19
A relaxed GeAs2O2 crystal, computed with PBE.

Output
Its theoretical density is 5.8 Mg/m³. The calculation puts the density of states at the Fermi level at 1.78 states/eV/f.u. For the energy above the most stable polymorph in this dataset, the calculation gives 337.0 meV/atom.

The structure in POSCAR format:
```
GeAs2O2
1.0
3.504 0.000 0.000
0.000 3.504 0.000
0.000 0.000 11.950
Ge As O
2 4 4
direct
0.000 0.000 0.000
0.500 0.500 0.500
0.000 0.000 0.350
0.000 0.000 0.650
0.500 0.500 0.150
0.500 0.500 0.850
0.000 0.500 0.250
0.000 0.500 0.750
0.500 0.000 0.250
0.500 0.000 0.750
```

***

# 20
A relaxed GeAsO4 crystal, computed with PBE.

Output
Its theoretical density is 3.1 Mg/m³. The calculation puts the density of states at the Fermi level at 1.94 states/eV/f.u. The calculation puts the total energy at -72.2 eV for the cell shown.

The structure in POSCAR format:
```
GeAsO4
1.0
5.376 0.000 0.000
0.000 5.376 0.000
0.000 0.000 7.865
Ge As O
2 2 8
direct
0.000 0.000 0.000
0.500 0.500 0.500
0.000 0.500 0.250
0.500 0.000 0.750
0.133 0.248 0.125
0.248 0.867 0.875
0.252 0.633 0.375
0.367 0.252 0.625
0.633 0.748 0.625
0.748 0.367 0.375
0.752 0.133 0.875
0.867 0.752 0.125
```

***

# 21
A relaxed GeAs4O2 crystal, computed with PBE.

Output
Its theoretical density is 4.5 Mg/m³. The calculation puts the density of states at the Fermi level at 4.41 states/eV/f.u. The calculation puts the total energy at -61.7 eV for the cell shown.

The structure in POSCAR format:
```
GeAs4O2
1.0
4.782 0.000 0.000
0.000 4.782 0.000
0.000 0.000 13.084
Ge As O
2 8 4
direct
0.000 0.000 0.000
0.500 0.500 0.500
0.000 0.000 0.264
0.000 0.000 0.736
0.000 0.500 0.000
0.000 0.500 0.500
0.500 0.000 0.000
0.500 0.000 0.500
0.500 0.500 0.236
0.500 0.500 0.764
0.000 0.000 0.398
0.000 0.000 0.602
0.500 0.500 0.102
0.500 0.500 0.898
```

***

# 22
A relaxed GeAsO2 crystal, computed with PBE.

Output
Its theoretical density is 5.1 Mg/m³. The calculation puts the density of states at the Fermi level at 1.77 states/eV/f.u. For the energy above the most stable polymorph in this dataset, the calculation gives 395.6 meV/atom.

The structure in POSCAR format:
```
GeAsO2
1.0
4.281 0.000 0.000
0.000 4.281 0.000
0.000 0.000 12.770
Ge As O
4 4 8
direct
0.000 0.000 0.000
0.000 0.500 0.250
0.500 0.000 0.750
0.500 0.500 0.500
0.000 0.000 0.500
0.000 0.500 0.750
0.500 0.000 0.250
0.500 0.500 0.000
0.239 0.250 0.625
0.250 0.739 0.875
0.250 0.761 0.375
0.261 0.250 0.125
0.739 0.750 0.125
0.750 0.239 0.375
0.750 0.261 0.875
0.761 0.750 0.625
```

***

# 23
A relaxed GeAsPO2 crystal, computed with PBE.

Output
Its theoretical density is 5.1 Mg/m³. The calculation puts the density of states at the Fermi level at 1.07 states/eV/f.u. For the energy above the most stable polymorph in this dataset, the calculation gives 0.0 meV/atom.

The structure in POSCAR format:
```
GeAsPO2
1.0
3.723 0.000 0.000
0.000 3.723 0.000
0.000 0.000 4.939
Ge As P O
1 1 1 2
direct
0.000 0.000 0.000
0.500 0.500 0.500
0.000 0.000 0.500
0.000 0.500 0.000
0.500 0.000 0.000
```

***

# 24
A relaxed GeAsPO2 crystal, computed with PBE.

Output
Its theoretical density is 5.0 Mg/m³. The calculation puts the density of states at the Fermi level at 2.27 states/eV/f.u. For the energy above the most stable polymorph in this dataset, the calculation gives 26.8 meV/atom.

The structure in POSCAR format:
```
GeAsPO2
1.0
3.766 0.000 0.000
0.000 3.766 0.000
0.000 0.000 4.924
Ge As P O
1 1 1 2
direct
0.000 0.000 0.000
0.500 0.500 0.500
0.500 0.500 0.000
0.000 0.500 0.500
0.500 0.000 0.500
```